This record from the Open Quantum Materials Database describes a geometry-optimized YZnFeBi structure. The functional is GGA-PBE. Values from VASP.

Quantum ESPRESSO input file:
```
&SYSTEM
  ibrav = 0, nat = 16, ntyp = 4
/
ATOMIC_SPECIES
Y 88.91 Y.upf
Zn 65.41 Zn.upf
Fe 55.84 Fe.upf
Bi 208.98 Bi.upf
CELL_PARAMETERS angstrom
6.9413 0.0000 0.0000
0.0000 6.9413 0.0000
0.0000 0.0000 6.9413
ATOMIC_POSITIONS crystal
Y 0.0000 0.0000 0.0000
Y 0.0000 0.5000 0.5000
Y 0.5000 0.0000 0.5000
Y 0.5000 0.5000 0.0000
Zn 0.2500 0.2500 0.2500
Zn 0.2500 0.7500 0.7500
Zn 0.7500 0.2500 0.7500
Zn 0.7500 0.7500 0.2500
Fe 0.2500 0.2500 0.7500
Fe 0.2500 0.7500 0.2500
Fe 0.7500 0.2500 0.2500
Fe 0.7500 0.7500 0.7500
Bi 0.0000 0.0000 0.5000
Bi 0.0000 0.5000 0.0000
Bi 0.5000 0.0000 0.0000
Bi 0.5000 0.5000 0.5000
```

Calculated values
Size of the total moment: 1.8 μB per formula unit
E: -0.363 Ry per atom
Distance to the lowest polymorph of the same formula: 0.0026 eV/atom

***

This record from the Open Quantum Materials Database describes a geometry-optimized Er5Zn4Cd structure. The functional is GGA-PBE. Values from VASP.

Quantum ESPRESSO input file:
```
&SYSTEM
  ibrav = 0, nat = 10, ntyp = 3
/
ATOMIC_SPECIES
Er 167.26 Er.upf
Zn 65.41 Zn.upf
Cd 112.41 Cd.upf
CELL_PARAMETERS angstrom
3.5402 0.0000 0.0000
0.0000 3.5402 0.0000
0.0000 0.0000 18.0568
ATOMIC_POSITIONS crystal
Er 0.0000 0.0000 0.0000
Er 0.0000 0.0000 0.1942
Er 0.0000 0.0000 0.3873
Er 0.0000 0.0000 0.6127
Er 0.0000 0.0000 0.8058
Zn 0.5000 0.5000 0.0972
Zn 0.5000 0.5000 0.2920
Zn 0.5000 0.5000 0.7080
Zn 0.5000 0.5000 0.9028
Cd 0.5000 0.5000 0.5000
```

Calculated values
Size of the total moment: 0.1 μB per formula unit
E: -0.237 Ry per atom
Energy of formation from the pure elements: -0.347 eV per atom

***

This record from the Open Quantum Materials Database describes a geometry-optimized NaPrCdSe3 structure. The functional is GGA-PBE. Values from VASP.

Quantum ESPRESSO input file:
```
&SYSTEM
  ibrav = 0, nat = 24, ntyp = 4
/
ATOMIC_SPECIES
Na 22.99 Na.upf
Pr 140.91 Pr.upf
Cd 112.41 Cd.upf
Se 78.96 Se.upf
CELL_PARAMETERS angstrom
14.7516 0.0000 0.0000
0.0000 4.3100 0.0000
0.0000 0.0000 11.7987
ATOMIC_POSITIONS crystal
Na 0.2218 0.2500 0.1716
Na 0.2782 0.7500 0.6716
Na 0.7218 0.2500 0.3284
Na 0.7782 0.7500 0.8284
Pr 0.0360 0.7500 0.8490
Pr 0.4640 0.2500 0.3490
Pr 0.5360 0.7500 0.6510
Pr 0.9640 0.2500 0.1510
Cd 0.0276 0.2500 0.6000
Cd 0.4724 0.7500 0.1000
Cd 0.5276 0.2500 0.9000
Cd 0.9724 0.7500 0.4000
Se 0.0815 0.2500 0.3760
Se 0.0950 0.7500 0.0852
Se 0.1562 0.2500 0.7571
Se 0.3438 0.7500 0.2571
Se 0.4050 0.2500 0.5852
Se 0.4185 0.7500 0.8760
Se 0.5815 0.2500 0.1240
Se 0.5950 0.7500 0.4148
Se 0.6562 0.2500 0.7429
Se 0.8438 0.7500 0.2429
Se 0.9050 0.2500 0.9148
Se 0.9185 0.7500 0.6240
```

Calculated values
Size of the total moment: 0.0 μB per formula unit
E: -0.306 Ry per atom
Distance to the lowest polymorph of the same formula: 0.0000 eV/atom

***

This record from the Open Quantum Materials Database describes a geometry-optimized Ni2GeP structure. The functional is GGA-PBE. Values from VASP.

Quantum ESPRESSO input file:
```
&SYSTEM
  ibrav = 0, nat = 32, ntyp = 3
/
ATOMIC_SPECIES
Ni 58.69 Ni.upf
Ge 72.64 Ge.upf
P 30.97 P.upf
CELL_PARAMETERS angstrom
4.9836 0.0000 0.0000
0.0000 14.0078 0.0000
0.0000 0.0000 6.0773
ATOMIC_POSITIONS crystal
Ni 0.0031 0.0754 0.2328
Ni 0.0032 0.1979 0.7598
Ni 0.0032 0.3021 0.2598
Ni 0.0031 0.4246 0.7328
Ni 0.4969 0.5754 0.2328
Ni 0.4968 0.6979 0.7598
Ni 0.4968 0.8021 0.2598
Ni 0.4969 0.9246 0.7328
Ni 0.5031 0.0754 0.2672
Ni 0.5032 0.1979 0.7402
Ni 0.5032 0.3021 0.2402
Ni 0.5031 0.4246 0.7672
Ni 0.9969 0.5754 0.2672
Ni 0.9968 0.6979 0.7402
Ni 0.9968 0.8021 0.2402
Ni 0.9969 0.9246 0.7672
Ge 0.2307 0.0597 0.5934
Ge 0.2307 0.4403 0.0934
Ge 0.2693 0.5597 0.5934
Ge 0.2693 0.9403 0.0934
Ge 0.7307 0.0597 0.9066
Ge 0.7307 0.4403 0.4066
Ge 0.7693 0.5597 0.9066
Ge 0.7693 0.9403 0.4066
P 0.2361 0.6864 0.0708
P 0.2361 0.8136 0.5708
P 0.2639 0.1864 0.0708
P 0.2639 0.3136 0.5708
P 0.7361 0.6864 0.4292
P 0.7361 0.8136 0.9292
P 0.7639 0.1864 0.4292
P 0.7639 0.3136 0.9292
```

Calculated values
Size of the total moment: 0.0 μB per formula unit
E: -0.416 Ry per atom

***

This record from the Open Quantum Materials Database describes a geometry-optimized Dy2Er3Tm2Ni2Te2 structure. The functional is GGA-PBE. Values from VASP.

Quantum ESPRESSO input file:
```
&SYSTEM
  ibrav = 0, nat = 11, ntyp = 5
/
ATOMIC_SPECIES
Dy 162.50 Dy.upf
Er 167.26 Er.upf
Tm 168.93 Tm.upf
Ni 58.69 Ni.upf
Te 127.60 Te.upf
CELL_PARAMETERS angstrom
-1.9160 7.7617 4.7609
1.9160 -7.7617 4.7609
1.9160 7.7617 -4.7609
ATOMIC_POSITIONS crystal
Dy 0.1852 0.0000 0.1852
Dy 0.8148 0.0000 0.8148
Er 0.1214 0.6214 0.5000
Er 0.2050 0.3511 0.8538
Er 0.4973 0.3511 0.1462
Tm 0.5706 0.2038 0.3668
Tm 0.8369 0.2038 0.6332
Ni 0.4315 0.6936 0.7379
Ni 0.9557 0.6936 0.2621
Te 0.4594 0.9594 0.5000
Te 0.8550 0.8550 0.0000
```

Calculated values
Size of the total moment: 0.0 μB per formula unit
E: -0.379 Ry per atom
Distance to the lowest polymorph of the same formula: 0.0083 eV/atom

***

This record from the Open Quantum Materials Database describes a geometry-optimized Pt2PbO4 structure. The functional is GGA-PBE. Values from VASP.

Quantum ESPRESSO input file:
```
&SYSTEM
  ibrav = 0, nat = 14, ntyp = 3
/
ATOMIC_SPECIES
Pt 195.08 Pt.upf
Pb 207.20 Pb.upf
O 16.00 O.upf
CELL_PARAMETERS angstrom
0.0000 4.6684 4.6684
4.6684 0.0000 4.6684
4.6684 4.6684 0.0000
ATOMIC_POSITIONS crystal
Pt 0.0000 0.0000 0.0000
Pt 0.0000 0.0000 0.5000
Pt 0.0000 0.5000 0.0000
Pt 0.5000 0.0000 0.0000
Pb 0.3750 0.3750 0.3750
Pb 0.6250 0.6250 0.6250
O 0.1763 0.7746 0.7746
O 0.2254 0.2254 0.2254
O 0.2254 0.2254 0.8237
O 0.2254 0.8237 0.2254
O 0.7746 0.1763 0.7746
O 0.7746 0.7746 0.1763
O 0.7746 0.7746 0.7746
O 0.8237 0.2254 0.2254
```

Calculated values
Size of the total moment: 0.9 μB per formula unit
E: -0.404 Ry per atom